LiVBO4 after structural relaxation. Source: Alexandria, functional GGA+U.

Properties
* V: 452 Å³ per cell
* excess energy over the best structure of this formula in the dataset: 50 meV/atom

abc: 8.204 8.204 8.204
angles: 107.59 107.59 107.59
Atoms (fractional coordinates):
Li (0.009, 0.193, 0.798)
Li (0.193, 0.798, 0.009)
Li (0.302, 0.703, 0.471)
Li (0.471, 0.302, 0.703)
Li (0.703, 0.471, 0.302)
Li (0.798, 0.009, 0.193)
V (0.036, 0.824, 0.635)
V (0.118, 0.354, 0.529)
V (0.354, 0.529, 0.118)
V (0.529, 0.118, 0.354)
V (0.635, 0.036, 0.824)
V (0.824, 0.635, 0.036)
B (0.153, 0.970, 0.377)
B (0.377, 0.153, 0.970)
B (0.464, 0.674, 0.867)
B (0.674, 0.867, 0.464)
B (0.867, 0.464, 0.674)
B (0.970, 0.377, 0.153)
O (0.164, 0.861, 0.493)
O (0.172, 0.499, 0.208)
O (0.208, 0.172, 0.499)
O (0.222, 0.960, 0.879)
O (0.288, 0.959, 0.290)
O (0.290, 0.288, 0.959)
O (0.325, 0.588, 0.663)
O (0.359, 0.674, 0.986)
O (0.493, 0.164, 0.861)
O (0.499, 0.208, 0.172)
O (0.558, 0.899, 0.571)
O (0.571, 0.558, 0.899)
O (0.588, 0.663, 0.325)
O (0.607, 0.866, 0.926)
O (0.663, 0.325, 0.588)
O (0.674, 0.986, 0.359)
O (0.861, 0.493, 0.164)
O (0.866, 0.926, 0.607)
O (0.879, 0.222, 0.960)
O (0.899, 0.571, 0.558)
O (0.926, 0.607, 0.866)
O (0.959, 0.290, 0.288)
O (0.960, 0.879, 0.222)
O (0.986, 0.359, 0.674)